This record from Alexandria via LeMat-Bulk describes an optimized crystal structure of TcMoOs2. The functional is PBE-GGA. Values from VASP.

```
&SYSTEM
  ibrav = 0, nat = 4, ntyp = 3
/
ATOMIC_SPECIES
Os 190.23 Os.upf
Mo 95.94 Mo.upf
Tc 98.00 Tc.upf
CELL_PARAMETERS angstrom
4.7715 -0.0062 -0.0005
1.6003 4.4951 0.0005
-3.1856 -2.2449 2.7531
ATOMIC_POSITIONS crystal
Os 0.0000 0.0000 0.0000
Mo 0.7500 0.2500 0.5000
Os 0.5000 0.5000 0.0000
Tc 0.2500 0.7500 0.5000
```

Space-group type: I4/mmm (139)
Relative energy among the computed polymorphs in eV/f.u.: 0.016
Formation energy in meV per atom: 45
VASP energy in eV/cell: -43.478